## Tb6Bi2Sb (PBE)

Data for a relaxed Tb6Bi2Sb crystal.

Cell: 6.447 8.398 10.366 Å, 90.00 91.31 90.00°
Fractional positions:
Tb  0.869  0.967  0.221
Tb  0.632  0.163  0.948
Tb  0.618  0.194  0.552
Tb  0.382  0.806  0.448
Tb  0.368  0.837  0.052
Tb  0.868  0.663  0.552
Tb  0.369  0.533  0.721
Sb  0.500  0.500  0.000
Tb  0.132  0.337  0.448
Sb  0.000  0.000  0.500
Tb  0.882  0.694  0.948
Tb  0.131  0.033  0.779
Bi  0.411  0.118  0.255
Bi  0.589  0.882  0.745
Bi  0.089  0.618  0.245
Tb  0.631  0.467  0.279
Tb  0.118  0.306  0.052
Bi  0.911  0.382  0.755

Results
Raw formation energy (eV/atom): -0.55